Entry 1:
This record from Alexandria describes TcNi2Hg after structural relaxation. The functional is GGA-PBE.

Output
energy of formation from the pure elements: 0.393 eV per atom

a = 5.3337 Å, b = 5.3337 Å, c = 5.3337 Å
α = 150.25°, β = 130.01°, γ = 59.26°
Last column: nearest neighbours and their distance in Å.
Fractional coordinates of all 4 atoms:
1 Hg 0.2419 0.7419 0.5000  6 Ni 2.64-2.79, 2 Hg 2.74, 2 Tc 2.95
2 Ni 0.9793 0.9793 0.0000  4 Ni 2.49-2.74, 4 Tc 2.67
3 Ni 0.7554 0.2554 0.5000  4 Ni 2.49-2.74, 2 Tc 2.55, 4 Hg 2.64
4 Tc 0.5234 0.5234 0.0000  6 Ni 2.55-2.67, 2 Tc 2.74

Entry 2:
This record from Alexandria describes Tb2Pm6TmMg after structural relaxation. The functional is GGA-PBE.

Output
energy of formation from the pure elements: 0.116 eV per atom

a = 9.5667 Å, b = 8.7985 Å, c = 8.7985 Å
α = 116.64°, β = 94.12°, γ = 94.12°
Last column: nearest neighbours and their distance in Å.
Fractional coordinates of all 20 atoms:
1 Tb 0.4499 0.7996 0.7005  5 Pm 3.16-3.45, 2 Tm 3.36-3.46, 1 Mg 3.49
2 Tb 0.0501 0.2995 0.2004  5 Pm 3.16-3.45, 2 Tm 3.36-3.46, 1 Mg 3.49
3 Tb 0.5501 0.2004 0.2995  5 Pm 3.16-3.45, 2 Tm 3.36-3.46, 1 Mg 3.49
4 Tb 0.9499 0.7005 0.7996  5 Pm 3.16-3.45, 2 Tm 3.36-3.46, 1 Mg 3.49
5 Pm 0.0512 0.1252 0.7627  1 Tb 3.45, 7 Pm 3.48-3.80, 2 Tm 3.57-3.84
6 Pm 0.4488 0.2373 0.8748  1 Tb 3.45, 7 Pm 3.48-3.80, 2 Tm 3.57-3.84
7 Pm 0.9488 0.8748 0.2373  1 Tb 3.45, 7 Pm 3.48-3.80, 2 Tm 3.57-3.84
8 Pm 0.5512 0.7627 0.1252  1 Tb 3.45, 7 Pm 3.48-3.80, 2 Tm 3.57-3.84
9 Pm 0.3060 0.9979 0.4319  1 Mg 3.35, 4 Pm 3.36-3.70, 1 Tb 3.41, 1 Tm 3.55
10 Pm 0.1940 0.5681 0.0021  1 Mg 3.35, 4 Pm 3.36-3.70, 1 Tb 3.41, 1 Tm 3.55
11 Pm 0.6940 0.0021 0.5681  1 Mg 3.35, 4 Pm 3.36-3.70, 1 Tb 3.41, 1 Tm 3.55
12 Pm 0.8060 0.4319 0.9979  1 Mg 3.35, 4 Pm 3.36-3.70, 1 Tb 3.41, 1 Tm 3.55
13 Pm 0.1129 0.7069 0.5022  3 Tb 3.16-3.41, 3 Pm 3.36-3.48, 2 Mg 3.37-3.48
14 Pm 0.3871 0.4978 0.2931  3 Tb 3.16-3.41, 3 Pm 3.36-3.48, 2 Mg 3.37-3.48
15 Pm 0.8871 0.2931 0.4978  3 Tb 3.16-3.41, 3 Pm 3.36-3.48, 2 Mg 3.37-3.48
16 Pm 0.6129 0.5022 0.7069  3 Tb 3.16-3.41, 3 Pm 3.36-3.48, 2 Mg 3.37-3.48
17 Tm 0.2500 0.9792 0.0208  4 Tb 3.36-3.46, 4 Pm 3.55-3.57
18 Tm 0.7500 0.0208 0.9792  4 Tb 3.36-3.46, 4 Pm 3.55-3.57
19 Mg 0.2500 0.4097 0.5903  6 Pm 3.35-3.48, 2 Tb 3.49
20 Mg 0.7500 0.5903 0.4097  6 Pm 3.35-3.48, 2 Tb 3.49

Entry 3:
This record from Alexandria describes Tb2Tm2Ga after structural relaxation. The functional is GGA-PBE.

Output
energy of formation from the pure elements: 0.302 eV per atom

a = 4.1843 Å, b = 4.1843 Å, c = 9.1851 Å
α = 103.17°, β = 103.17°, γ = 90.00°
Last column: nearest neighbours and their distance in Å.
Fractional coordinates of all 5 atoms:
1 Tb 0.4122 0.4122 0.8244  1 Tb 3.05, 4 Ga 3.33
2 Tb 0.5878 0.5878 0.1756  1 Tb 3.05, 4 Ga 3.33
3 Tm 0.7500 0.2500 0.5000  4 Tm 2.96
4 Tm 0.2500 0.7500 0.5000  4 Tm 2.96
5 Ga 0.0000 0.0000 0.0000  8 Tb 3.33